A geometry-optimized MnTlOF4 structure. Source: the Alexandria database, functional PBE with a Hubbard U.

Properties
DFT total energy   -135.87 eV per cell
D(E_F)   0.227 states/eV per atom
Magnetization   2.15 μB/f.u.

Geometry as extended XYZ:
```
28
Lattice="3.506 7.147 -0.553 -3.506 7.147 -0.553 0.000 1.447 8.055" Properties=species:S:1:pos:R:3 pbc="T T T"
Mn 1.753 4.297 3.751
Mn -1.753 3.574 -0.277
Mn 1.753 7.509 1.460
Mn -1.753 8.232 5.488
Tl -1.753 6.028 2.663
Tl -1.753 8.990 0.258
Tl 1.753 9.713 4.285
Tl 1.753 6.752 6.691
O -1.753 10.969 1.454
O -1.753 4.049 1.467
O 1.753 4.772 5.494
O 1.753 11.693 5.481
F 1.753 6.084 3.157
F 1.753 8.934 -0.236
F -1.753 9.658 3.792
F -1.753 6.807 7.184
F 0.126 11.444 3.197
F 0.126 3.574 -0.277
F -0.126 4.297 3.751
F -0.126 12.168 7.225
F 3.069 6.481 0.623
F 3.069 8.537 2.298
F -3.069 9.260 6.326
F -3.069 7.204 4.650
F 0.437 6.481 0.623
F 0.437 8.537 2.298
F -0.437 9.260 6.326
F -0.437 7.205 4.650
```